Cs3Ac3TmO8 after structural relaxation. Source: Alexandria via LeMat-Bulk, functional PBE.

Summary:
- Energy: -6.49 eV per atom
- Raw formation energy: -246.5 kJ per mole of atoms
- Size of the total moment: 0.99 μB per cell

Lattice parameters (Å, degrees): 7.576 7.575 8.288 117.20 90.01 120.00
Site moments in Bohr magnetons follow the coordinates.
Atoms (fractional coordinates):
1 Cs 0.000 0.000 0.000  0.00
2 Cs 0.000 0.500 0.000  0.00
3 Cs 0.500 0.500 0.000  0.00
4 Ac 0.500 0.000 0.500  0.01
5 Ac 0.500 0.500 0.500  0.02
6 Ac 0.000 0.500 0.500  0.02
7 Tm 0.000 0.000 0.500  -0.01
8 O 0.275 0.551 0.326  0.04
9 O 0.725 0.449 0.674  0.04
10 O 0.793 0.586 0.340  0.12
11 O 0.207 0.414 0.660  0.12
12 O 0.793 0.047 0.340  0.12
13 O 0.207 0.953 0.660  0.12
14 O 0.254 0.047 0.340  0.12
15 O 0.746 0.953 0.660  0.12